The following is a GGA-PBE calculation of crystalline LiYInFe at its relaxed geometry, from the Open Quantum Materials Database. Values from VASP.

Geometry as Quantum ESPRESSO input:
```
&SYSTEM
  ibrav = 0, nat = 4, ntyp = 4
/
ATOMIC_SPECIES
Fe 55.84 Fe.upf
Li 6.94 Li.upf
In 114.82 In.upf
Y 88.91 Y.upf
CELL_PARAMETERS angstrom
0.000 3.410 3.410
3.410 0.000 3.410
3.410 3.410 0.000
ATOMIC_POSITIONS crystal
Fe 0.750 0.750 0.750
Li 0.500 0.500 0.500
In 0.000 0.000 0.000
Y 0.250 0.250 0.250
```

Properties
The distance to the lowest polymorph of the same formula is 0.364 eV per formula unit. As for the total energy: -19.22 eV for the cell shown.